First-principles (PBEsol) data for a geometry-optimized TlSbPb2 structure, as listed in the Alexandria database.

Results
E above lowest polymorph   35 meV per atom
Raw formation energy   0.0490 eV per atom
V   28.833 Å³/atom
E   -3.75 eV/atom

```
data_TlSbPb2
_chemical_formula_sum 'Tl4 Sb4 Pb8'
_symmetry_space_group_name_H-M 'F m -3 m'
_symmetry_Int_Tables_number 225
_symmetry_space_group_name_Hall '-F 4 2 3'
_cell_length_a 7.7268
_cell_length_b 7.7268
_cell_length_c 7.7268
_cell_angle_alpha 90.00
_cell_angle_beta 90.00
_cell_angle_gamma 90.00
loop_
_atom_site_label
_atom_site_type_symbol
_atom_site_fract_x
_atom_site_fract_y
_atom_site_fract_z
_atom_site_occupancy
Tl1 Tl 0.0000 0.0000 0.0000 1
Sb1 Sb 0.0000 0.0000 0.5000 1
Pb1 Pb 0.2500 0.2500 0.2500 1
```